# 1
# PBE Sr5Ca6Tb, relaxed
# - DFT formation energy: 69 meV per atom
# - Space-group type: Immm (71)
# - Calculated density: 2.53 g/cm³
data_Sr5Ca6Tb
_chemical_formula_sum 'Sr5 Ca6 Tb1'
_cell_length_a 5.754
_cell_length_b 11.126
_cell_length_c 10.631
_cell_angle_alpha 121.56
_cell_angle_beta 105.74
_cell_angle_gamma 89.99
_symmetry_space_group_name_H-M 'P 1'
_symmetry_Int_Tables_number 1
loop_
_symmetry_equiv_pos_as_xyz
'x,y,z'
loop_
_atom_site_label
_atom_site_type_symbol
_atom_site_fract_x
_atom_site_fract_y
_atom_site_fract_z
_atom_site_occupancy
Sr1 Sr 0.664 0.164 0.329 1
Sr2 Sr 0.335 0.335 0.670 1
Sr3 Sr 0.000 0.500 0.000 1
Sr4 Sr 0.665 0.665 0.330 1
Sr5 Sr 0.336 0.836 0.671 1
Ca1 Ca 0.838 0.596 0.676 1
Ca2 Ca 0.838 0.081 0.676 1
Ca3 Ca 0.500 0.763 0.000 1
Ca4 Ca 0.500 0.237 0.000 1
Ca5 Ca 0.162 0.919 0.324 1
Ca6 Ca 0.162 0.404 0.324 1
Tb1 Tb 0.000 0.000 0.000 1


# 2
# PBE CaZrZn2, relaxed
# - DFT formation energy: 44 meV per atom
# - Space-group type: R-3m (166)
# - Calculated density: 4.71 g/cm³
data_CaZrZn2
_chemical_formula_sum 'Ca1 Zr1 Zn2'
_cell_length_a 9.116
_cell_length_b 9.116
_cell_length_c 9.116
_cell_angle_alpha 21.91
_cell_angle_beta 21.91
_cell_angle_gamma 21.91
_symmetry_space_group_name_H-M 'P 1'
_symmetry_Int_Tables_number 1
loop_
_symmetry_equiv_pos_as_xyz
'x,y,z'
loop_
_atom_site_label
_atom_site_type_symbol
_atom_site_fract_x
_atom_site_fract_y
_atom_site_fract_z
_atom_site_occupancy
Zn1 Zn 0.994 0.994 0.994 1
Zn2 Zn 0.506 0.506 0.506 1
Ca1 Ca 0.750 0.750 0.750 1
Zr1 Zr 0.250 0.250 0.250 1


# 3
# PBE C3Se, relaxed
# - Space-group type: Pm-3m (221)
# - ΔE_f (raw): 15.08 eV/f.u.
# - Energy above the lowest structure with this stoichiometry: 2446 meV per atom
# - Calculated density: 4.58 g/cm³
data_C3Se
_chemical_formula_sum 'C3 Se1'
_cell_length_a 3.467
_cell_length_b 3.467
_cell_length_c 3.467
_cell_angle_alpha 90.00
_cell_angle_beta 90.00
_cell_angle_gamma 90.00
_symmetry_space_group_name_H-M 'P 1'
_symmetry_Int_Tables_number 1
loop_
_symmetry_equiv_pos_as_xyz
'x,y,z'
loop_
_atom_site_label
_atom_site_type_symbol
_atom_site_fract_x
_atom_site_fract_y
_atom_site_fract_z
_atom_site_occupancy
C1 C 0.000 0.500 0.500 1
C2 C 0.500 0.000 0.500 1
C3 C 0.500 0.500 0.000 1
Se1 Se 0.000 0.000 0.000 1


# 4
# PBE Sc8Si3Te4Se, relaxed
# - Space-group type: R-3m (166)
# - ΔE_f (raw): -17.44 eV/f.u.
# - Calculated density: 4.66 g/cm³
data_Sc8Si3Te4Se
_chemical_formula_sum 'Sc8 Si3 Te4 Se1'
_cell_length_a 7.972
_cell_length_b 8.116
_cell_length_c 7.972
_cell_angle_alpha 119.42
_cell_angle_beta 120.00
_cell_angle_gamma 90.00
_symmetry_space_group_name_H-M 'P 1'
_symmetry_Int_Tables_number 1
loop_
_symmetry_equiv_pos_as_xyz
'x,y,z'
loop_
_atom_site_label
_atom_site_type_symbol
_atom_site_fract_x
_atom_site_fract_y
_atom_site_fract_z
_atom_site_occupancy
Sc1 Sc 0.243 0.716 0.972 1
Sc2 Sc 0.243 0.716 0.487 1
Sc3 Sc 0.261 0.283 0.522 1
Sc4 Sc 0.729 0.716 0.972 1
Sc5 Sc 0.271 0.284 0.028 1
Sc6 Sc 0.739 0.717 0.478 1
Sc7 Sc 0.757 0.284 0.513 1
Sc8 Sc 0.757 0.284 0.028 1
Si1 Si 0.500 0.500 0.000 1
Si2 Si 0.500 0.500 0.500 1
Si3 Si 0.000 0.500 0.500 1
Te1 Te 0.500 0.000 0.000 1
Te2 Te 0.500 0.000 0.500 1
Te3 Te 0.000 0.000 0.000 1
Te4 Te 0.000 0.000 0.500 1
Se1 Se 0.000 0.500 0.000 1


Question: Look up the calculated density of the second one.
Answer: 4.71 g/cm³